Co2CuPO PBE with a Hubbard U optimized geometry; total DFT energy (no corrections) = -4.823 eV per atom; space group = P4/mmm, No. 123
1.0
4.059 0.000 0.000
0.000 3.926 0.000
0.000 0.000 4.059
Co P Cu O
2 1 1 1
direct
0.500 0.000 0.000 Co
0.000 0.000 0.500 Co
0.500 0.500 0.500 P
0.000 0.500 0.000 Cu
0.000 0.000 0.000 O